VASP calculation (PBE) on a relaxed structure of Zn2CdIr2.

The structure in extended XYZ format:
```
10
Lattice="7.2730 0.0000 0.0000 0.0000 7.2730 0.0000 0.0000 0.0000 3.0162" Properties=species:S:1:pos:R:3 pbc="T T T"
Zn 1.1971 2.4394 0.0000
Zn 2.4394 6.0759 0.0000
Zn 4.8336 1.1971 0.0000
Zn 6.0759 4.8336 0.0000
Cd 0.0000 0.0000 1.5081
Cd 3.6365 3.6365 1.5081
Ir 0.9626 4.5991 1.5081
Ir 2.6739 0.9626 1.5081
Ir 4.5991 6.3104 1.5081
Ir 6.3104 2.6739 1.5081
```

Properties
The magnetization comes out at 0.00 μB per formula unit. The calculation puts the theoretical density at 13.07 Mg/m³. The calculation puts the final energy at -4.26 eV/atom. The calculation puts the formation enthalpy at 0 K at -0.0254 eV/atom. Its space group is No. 127.